[1]
CrOs5 | meta-GGA SCAN | PBEsol geometry

Computed properties:
Calculated total energy   -62.98 eV per atom
Crystal system   monoclinic

POSCAR file:
```
CrOs5
1.0
2.710 0.000 0.000
-1.355 4.872 0.002
0.000 -1.496 6.165
Cr Os
1 5
direct
0.999 0.999 0.000
0.389 0.779 0.273
0.666 0.331 0.330
0.056 0.111 0.614
0.335 0.670 0.671
0.722 0.443 0.946
```

[2]
TmGaO3 | meta-GGA SCAN | PBEsol geometry

Computed properties:
Uncorrected formation energy   -3.0527 eV per atom
Calculated total energy   -20.43 eV per atom
Crystal system   orthorhombic

POSCAR file:
```
TmGaO3
1.0
5.176 0.000 0.000
0.000 5.516 0.000
0.000 0.000 7.463
Tm Ga O
4 4 12
direct
0.022 0.074 0.750
0.478 0.574 0.750
0.522 0.426 0.250
0.978 0.926 0.250
0.000 0.500 0.500
0.500 0.000 0.500
0.500 0.000 0.000
0.000 0.500 0.000
0.119 0.542 0.250
0.190 0.807 0.560
0.190 0.807 0.940
0.310 0.307 0.940
0.310 0.307 0.560
0.381 0.042 0.250
0.619 0.958 0.750
0.690 0.693 0.060
0.690 0.693 0.440
0.810 0.193 0.440
0.810 0.193 0.060
0.881 0.458 0.750
```